1.
DFT (PBE) results for a relaxed structure of MgNCl2.

Unit cell a=7.596 b=7.596 c=7.596 alpha=43.97 beta=43.97 gamma=43.97
Fractional coordinates of all 4 atoms:
Mg 0.000 0.000 0.000
N 0.500 0.500 0.500
Cl 0.106 0.106 0.106
Cl 0.894 0.894 0.894

Summary:
formation energy without anion corrections = 435 meV per atom
relative energy among the computed polymorphs = 530.7 meV per atom
electronic total energy = -2.968 eV/atom

***

2.
DFT (PBE) results for a relaxed structure of YCCl3.

Unit cell a=4.505 b=4.505 c=4.505 alpha=90.00 beta=90.00 gamma=90.00
Fractional coordinates of all 5 atoms:
Y 0.000 0.000 0.000
C 0.500 0.500 0.500
Cl 0.000 0.500 0.500
Cl 0.500 0.000 0.500
Cl 0.500 0.500 0.000

Summary:
formation energy without anion corrections = 285 meV per atom
relative energy among the computed polymorphs = 489.1 meV per atom
electronic total energy = -3.961 eV/atom

***

3.
DFT (PBE) results for a relaxed structure of PuGa3Au5.

Unit cell a=7.041 b=7.041 c=15.742 alpha=90.00 beta=90.00 gamma=153.10
Fractional coordinates of all 18 atoms:
Pu 0.200 0.800 0.750
Pu 0.800 0.200 0.250
Ga 0.087 0.913 0.250
Ga 0.343 0.657 0.034
Ga 0.343 0.657 0.466
Ga 0.657 0.343 0.534
Ga 0.657 0.343 0.966
Ga 0.913 0.087 0.750
Au 0.000 0.000 0.000
Au 0.000 0.000 0.500
Au 0.175 0.825 0.106
Au 0.175 0.825 0.394
Au 0.473 0.527 0.157
Au 0.473 0.527 0.343
Au 0.527 0.473 0.657
Au 0.527 0.473 0.843
Au 0.825 0.175 0.606
Au 0.825 0.175 0.894

Summary:
electronic total energy = -4.685 eV/atom
DFT formation energy = -263 meV per atom

***

4.
DFT (PBE) results for a relaxed structure of Ac2AsPPt6.

Unit cell a=6.961 b=6.961 c=6.961 alpha=128.58 beta=128.58 gamma=75.69
Fractional coordinates of all 10 atoms:
Ac 0.000 0.500 0.500
Ac 0.500 0.000 0.500
As 0.143 0.143 0.000
P 0.637 0.637 0.000
Pt 0.425 0.425 0.000
Pt 0.508 0.508 0.513
Pt 0.508 0.995 0.000
Pt 0.923 0.923 0.000
Pt 0.995 0.508 0.000
Pt 0.995 0.995 0.487

Summary:
electronic total energy = -6.392 eV/atom
DFT formation energy = -940 meV per atom

***

5.
DFT (PBE) results for a relaxed structure of FeCo.

Unit cell a=4.007 b=4.007 c=6.998 alpha=90.00 beta=90.00 gamma=120.00
Fractional coordinates of all 8 atoms:
Fe 0.000 0.000 0.250
Fe 0.000 0.000 0.750
Fe 0.333 0.667 0.250
Fe 0.667 0.333 0.750
Co 0.333 0.667 0.577
Co 0.333 0.667 0.923
Co 0.667 0.333 0.077
Co 0.667 0.333 0.423

Summary:
electronic total energy = -7.451 eV/atom
DFT formation energy = 334 meV per atom

***

6.
DFT (PBE) results for a relaxed structure of RbH3Pd.

Unit cell a=3.894 b=3.894 c=3.894 alpha=90.00 beta=90.00 gamma=90.00
Fractional coordinates of all 5 atoms:
Rb 0.000 0.000 0.000
H 0.000 0.500 0.500
H 0.500 0.000 0.500
H 0.500 0.500 0.000
Pd 0.500 0.500 0.500

Summary:
relative energy among the computed polymorphs = 38.1 meV per atom
electronic total energy = -3.322 eV/atom

***

Copy entry 1 word for word.
DFT (PBE) results for a relaxed structure of MgNCl2.

Unit cell a=7.596 b=7.596 c=7.596 alpha=43.97 beta=43.97 gamma=43.97
Fractional coordinates of all 4 atoms:
Mg 0.000 0.000 0.000
N 0.500 0.500 0.500
Cl 0.106 0.106 0.106
Cl 0.894 0.894 0.894

Summary:
formation energy without anion corrections = 435 meV per atom
relative energy among the computed polymorphs = 530.7 meV per atom
electronic total energy = -2.968 eV/atom